VASP calculation (GGA+U) on an optimized crystal structure of KYMo2F.

Cell: 5.6639 5.6639 9.5177 Å, 90.00 90.00 90.00°
Space group P4/mmm (No. 123)
Unique sites:
K  0.0000  0.0000  0.0000 (multiplicity 1)
Y  0.0000  0.0000  0.5000 (multiplicity 1)
Mo  0.0000  0.5000  0.5000 (multiplicity 2)
F  0.5000  0.5000  0.0000 (multiplicity 1)

Summary:
Total energy: -17.306 eV per cell
Magnetic moment: 9.0 μB/f.u.
Crystal system: tetragonal
Density: 1.84 Mg/m³